Record 1
The following is a DFT calculation (PBE) of an optimized crystal structure of SrAlSi2.

Cell and atoms, written as POSCAR:
```
SrAlSi2
1.0
3.160 0.000 0.000
0.000 4.470 0.000
0.000 0.000 6.129
Sr Al Si
1 1 2
Cartesian
0.000 0.000 0.000 Sr
1.580 0.000 3.065 Al
1.580 2.235 1.822 Si
1.580 2.235 4.308 Si
```

E_tot = -4.059 eV/atom
total magnetization = 0.00 μB per formula unit
crystal system = orthorhombic


Record 2
The following is a DFT calculation (PBE) of an optimized crystal structure of SrAl2Si.

Cell and atoms, written as POSCAR:
```
SrAl2Si
1.0
-1.885 1.987 6.447
1.885 -1.987 6.447
1.885 1.987 -6.447
Sr Al Si
1 2 1
Cartesian
0.000 0.000 0.000 Sr
0.000 0.000 4.560 Al
0.000 1.987 2.760 Al
1.885 0.000 2.771 Si
```

E_tot = -3.696 eV/atom
total magnetization = 0.00 μB per formula unit
crystal system = orthorhombic